The following is a PBE calculation of an optimized crystal structure of Hg3AuSe, from Alexandria via LeMat-Bulk.

Cell lengths 5.336, 5.336, 5.336 Å; angles 90.00, 90.00, 90.00 degrees
Sites, in units of the cell vectors:
Hg 0.000 0.000 0.500
Hg 0.000 0.500 0.000
Hg 0.500 0.000 0.000
Au 0.000 0.000 0.000
Se 0.500 0.500 0.500

Results
ΔE_f (raw) (eV per atom): 0.303
Magnetic moment (μB per formula unit): 0.00
Fermi-level density of states (states/eV/atom): 1.06
Relative energy among the computed polymorphs (eV per atom): 0.322